1.
This record from the Alexandria database describes an optimized crystal structure of SrCuH3ClO3. The functional is PBEsol.

Cell and atoms, written as POSCAR:
```
SrCuH3ClO3
1.0
-2.423 -5.925 0.867
5.947 -2.403 0.203
0.339 2.175 15.822
Sr Cu H Cl O
6 6 18 6 18
direct
0.099 0.334 0.000
0.599 0.666 0.500
0.431 0.075 0.173
0.431 0.075 0.827
0.931 0.925 0.327
0.931 0.925 0.673
0.602 0.479 0.000
0.102 0.521 0.500
0.922 0.801 0.100
0.922 0.801 0.900
0.422 0.199 0.400
0.422 0.199 0.600
0.775 0.459 0.137
0.775 0.459 0.863
0.275 0.541 0.363
0.275 0.541 0.637
0.217 0.827 0.000
0.717 0.173 0.500
0.679 0.702 0.207
0.679 0.702 0.793
0.179 0.298 0.293
0.179 0.298 0.707
0.387 0.515 0.127
0.387 0.515 0.873
0.887 0.485 0.373
0.887 0.485 0.627
0.968 0.144 0.158
0.968 0.144 0.842
0.468 0.856 0.342
0.468 0.856 0.658
0.522 0.939 0.000
0.022 0.061 0.500
0.264 0.674 0.242
0.264 0.674 0.758
0.764 0.326 0.258
0.764 0.326 0.742
0.820 0.517 0.083
0.820 0.517 0.917
0.320 0.483 0.417
0.320 0.483 0.583
0.086 0.746 0.000
0.586 0.254 0.500
0.741 0.839 0.196
0.741 0.839 0.804
0.241 0.161 0.304
0.241 0.161 0.696
0.411 0.399 0.088
0.411 0.399 0.912
0.911 0.601 0.412
0.911 0.601 0.588
0.055 0.068 0.118
0.055 0.068 0.882
0.555 0.932 0.382
0.555 0.932 0.618
```

Calculated values
SG: Pmn2_1
Magnetic moment, μB per formula unit: 1.01
VASP energy, eV/atom: -5.170
Crystal system: orthorhombic

---

2.
This record from the Alexandria database describes an optimized crystal structure of Li2VO2F2. The functional is PBEsol.

Cell and atoms, written as POSCAR:
```
Li2VO2F2
1.0
3.718 0.000 0.000
0.000 6.228 0.032
0.000 -2.606 5.942
Li V O F
4 2 4 4
direct
0.250 0.279 0.727
0.750 0.721 0.273
0.750 0.095 0.895
0.250 0.905 0.105
0.250 0.707 0.627
0.750 0.293 0.373
0.750 0.647 0.572
0.250 0.353 0.428
0.250 0.994 0.816
0.750 0.006 0.184
0.750 0.216 0.643
0.250 0.784 0.357
0.750 0.393 0.125
0.250 0.607 0.875
```

Calculated values
SG: P2_1/m
Magnetic moment, μB per formula unit: 1.00
Formation energy without anion corrections, eV per atom: -2.602
VASP energy, eV/atom: -6.590
Crystal system: monoclinic
ΔE to the lowest computed polymorph, meV/atom: 63

---

Number 1: theoretical density 3576 kg/m3, calculated volume 662 Å³ per cell. Number 2: theoretical density 3247 kg/m3, calculated volume 138 Å³ per cell.